The following is a DFT calculation (PBE-GGA) of a relaxed GdLuSn crystal.

Calculated values
Energy above the most stable polymorph in this dataset in meV/atom: 0.0

The structure in POSCAR format:
```
GdLuSn
1.0
3.573 0.000 0.000
0.000 3.573 0.000
-1.787 -1.787 6.659
Gd Lu Sn
1 1 1
Cartesian
0.000 0.000 0.134
0.000 0.000 4.262
1.787 1.787 2.263
```

***

The following is a DFT calculation (PBE-GGA) of a relaxed Dy2Er6ZrSc3 crystal.

Calculated values
E in hartree per atom: -0.19413

The structure in POSCAR format:
```
Dy2Er6ZrSc3
1.0
-5.901 -0.264 -0.596
3.495 -0.842 -4.724
1.067 -10.528 3.905
Er Zr Sc Dy
6 1 3 2
Cartesian
0.531 -8.781 -1.758
-1.552 -3.502 -3.041
0.213 -8.132 1.626
1.212 -3.043 -1.011
-2.551 -8.591 -0.404
-1.869 -2.853 0.343
0.000 0.000 0.000
-3.800 -5.624 0.668
2.461 -6.010 -2.083
-0.669 -5.817 -0.708
0.365 -0.650 -3.349
-2.771 -0.456 -1.971
```

***

The following is a DFT calculation (PBE-GGA) of a relaxed Cs4H2AuF crystal.

Calculated values
E in hartree per atom: -0.09907

The structure in POSCAR format:
```
Cs4H2AuF
1.0
4.657 0.000 0.000
0.000 8.028 -0.085
0.000 2.900 7.786
H Cs F Au
2 4 1 1
Cartesian
0.000 2.900 7.786
2.329 1.450 3.893
0.000 8.348 5.826
4.657 2.579 1.875
2.329 6.613 1.497
2.329 4.314 6.204
2.329 6.914 7.744
0.000 5.464 3.851
```

***

The following is a DFT calculation (PBE-GGA) of a relaxed Gd2HoSc crystal.

Calculated values
Energy above the most stable polymorph in this dataset in meV/atom: 0.3

The structure in POSCAR format:
```
Gd2HoSc
1.0
4.878 0.000 0.000
0.000 4.945 0.000
0.000 0.000 4.945
Ho Gd Sc
1 2 1
Cartesian
2.439 2.473 2.473
0.000 2.473 0.000
0.000 0.000 2.473
2.439 0.000 0.000
```

***

The following is a DFT calculation (PBE-GGA) of a relaxed CrNi14Ge crystal.

Calculated values
E in hartree per atom: -0.22050

The structure in POSCAR format:
```
CrNi14Ge
1.0
-0.113 -0.083 5.016
-4.485 -2.245 -0.138
3.146 -6.282 -0.032
Ni Ge Cr
14 1 1
Cartesian
-3.967 -1.996 1.760
-0.517 -6.178 3.031
1.795 -5.007 0.578
-0.208 -4.055 4.321
0.215 -1.851 0.594
0.158 -1.892 3.118
-1.724 -0.873 1.829
-2.394 -5.137 1.744
-0.461 -6.136 0.508
-2.041 -2.980 0.524
-1.781 -0.914 4.337
-2.098 -3.022 3.048
1.739 -5.048 3.101
-4.024 -2.037 4.268
-0.151 -4.014 1.813
-2.450 -5.178 4.251
```

***

The following is a DFT calculation (PBE-GGA) of a relaxed Y2TaTe crystal.

Calculated values
ΔE_f (raw) in eV/atom: -0.127

The structure in POSCAR format:
```
Y2TaTe
1.0
7.619 0.009 0.025
-3.000 4.483 -0.017
1.619 1.096 2.934
Te Y Ta
1 2 1
Cartesian
2.309 2.246 0.004
0.000 0.000 0.000
4.619 0.553 1.479
-0.691 2.789 1.458
```